Record 1
# Tb2ScAu (PBE, relaxed)
# SG = R-3m (166)
# Energy of formation from the pure elements = 0.0300 eV per atom
# Total energy = -4.687 eV per atom
# Relative energy among the computed polymorphs = 402 meV/atom
data_Tb2ScAu
_cell_length_a 3.403
_cell_length_b 3.403
_cell_length_c 11.173
_cell_angle_alpha 81.24
_cell_angle_beta 81.24
_cell_angle_gamma 60.00
_symmetry_space_group_name_H-M 'P 1'
_symmetry_Int_Tables_number 1
loop_
_symmetry_equiv_pos_as_xyz
'x,y,z'
loop_
_atom_site_label
_atom_site_fract_x
_atom_site_fract_y
_atom_site_fract_z
_atom_site_occupancy
Au1 0.500 0.500 0.500 1
Sc1 0.000 0.000 0.000 1
Tb1 0.904 0.904 0.289 1
Tb2 0.096 0.096 0.711 1


Record 2
# TbSc2Au (PBE, relaxed)
# SG = P4/mmm (123)
# Energy of formation from the pure elements = -0.3640 eV per atom
# Total energy = -5.507 eV per atom
# Relative energy among the computed polymorphs = 67 meV/atom
data_TbSc2Au
_cell_length_a 3.476
_cell_length_b 3.476
_cell_length_c 7.905
_cell_angle_alpha 90.00
_cell_angle_beta 90.00
_cell_angle_gamma 90.00
_symmetry_space_group_name_H-M 'P 1'
_symmetry_Int_Tables_number 1
loop_
_symmetry_equiv_pos_as_xyz
'x,y,z'
loop_
_atom_site_label
_atom_site_fract_x
_atom_site_fract_y
_atom_site_fract_z
_atom_site_occupancy
Sc1 0.000 0.000 0.203 1
Sc2 0.000 0.000 0.797 1
Au1 0.500 0.500 0.000 1
Tb1 0.500 0.500 0.500 1


Record 3
# TbScAu (PBE, relaxed)
# SG = F-43m (216)
# Energy of formation from the pure elements = -0.4111 eV per atom
# Total energy = -5.157 eV per atom
# Relative energy among the computed polymorphs = 219 meV/atom
data_TbScAu
_cell_length_a 4.843
_cell_length_b 4.843
_cell_length_c 4.843
_cell_angle_alpha 60.00
_cell_angle_beta 60.00
_cell_angle_gamma 60.00
_symmetry_space_group_name_H-M 'P 1'
_symmetry_Int_Tables_number 1
loop_
_symmetry_equiv_pos_as_xyz
'x,y,z'
loop_
_atom_site_label
_atom_site_fract_x
_atom_site_fract_y
_atom_site_fract_z
_atom_site_occupancy
Tb1 0.000 0.000 0.000 1
Au1 0.250 0.250 0.250 1
Sc1 0.500 0.500 0.500 1


Record 4
# Tb12Sc5Au3 (PBE, relaxed)
# SG = Ia-3d (230)
# Energy of formation from the pure elements = 0.6575 eV per atom
# Total energy = -4.195 eV per atom
data_Tb12Sc5Au3
_cell_length_a 15.270
_cell_length_b 15.270
_cell_length_c 15.270
_cell_angle_alpha 109.47
_cell_angle_beta 109.47
_cell_angle_gamma 109.47
_symmetry_space_group_name_H-M 'P 1'
_symmetry_Int_Tables_number 1
loop_
_symmetry_equiv_pos_as_xyz
'x,y,z'
loop_
_atom_site_label
_atom_site_fract_x
_atom_site_fract_y
_atom_site_fract_z
_atom_site_occupancy
Au1 0.625 0.375 0.750 1
Au2 0.750 0.375 0.125 1
Au3 0.375 0.625 0.250 1
Au4 0.875 0.125 0.250 1
Au5 0.250 0.625 0.875 1
Au6 0.250 0.125 0.375 1
Au7 0.625 0.250 0.375 1
Au8 0.375 0.750 0.625 1
Au9 0.125 0.250 0.875 1
Au10 0.125 0.875 0.750 1
Au11 0.875 0.750 0.125 1
Au12 0.750 0.875 0.625 1
Tb1 0.233 0.659 0.097 1
Tb2 0.159 0.062 0.926 1
Tb3 0.062 0.903 0.136 1
Tb4 0.636 0.074 0.233 1
Tb5 0.841 0.903 0.267 1
Tb6 0.341 0.767 0.403 1
Tb7 0.841 0.938 0.074 1
Tb8 0.938 0.097 0.864 1
Tb9 0.767 0.341 0.903 1
Tb10 0.267 0.403 0.841 1
Tb11 0.574 0.233 0.136 1
Tb12 0.767 0.426 0.364 1
Tb13 0.403 0.267 0.341 1
Tb14 0.233 0.574 0.636 1
Tb15 0.136 0.733 0.574 1
Tb16 0.426 0.767 0.864 1
Tb17 0.438 0.074 0.341 1
Tb18 0.659 0.426 0.562 1
Tb19 0.403 0.136 0.562 1
Tb20 0.364 0.438 0.097 1
Tb21 0.926 0.562 0.159 1
Tb22 0.574 0.341 0.938 1
Tb23 0.733 0.597 0.159 1
Tb24 0.074 0.438 0.841 1
Tb25 0.062 0.159 0.426 1
Tb26 0.733 0.136 0.074 1
Tb27 0.597 0.864 0.438 1
Tb28 0.903 0.841 0.767 1
Tb29 0.136 0.403 0.062 1
Tb30 0.597 0.733 0.659 1
Tb31 0.562 0.636 0.403 1
Tb32 0.097 0.938 0.364 1
Tb33 0.426 0.659 0.062 1
Tb34 0.636 0.562 0.903 1
Tb35 0.267 0.864 0.926 1
Tb36 0.864 0.597 0.938 1
Tb37 0.159 0.097 0.733 1
Tb38 0.903 0.062 0.636 1
Tb39 0.364 0.926 0.767 1
Tb40 0.438 0.364 0.597 1
Tb41 0.926 0.364 0.267 1
Tb42 0.938 0.841 0.574 1
Tb43 0.864 0.267 0.426 1
Tb44 0.659 0.233 0.597 1
Tb45 0.074 0.636 0.733 1
Tb46 0.562 0.926 0.659 1
Tb47 0.097 0.159 0.233 1
Tb48 0.341 0.574 0.438 1
Sc1 0.000 0.500 0.000 1
Sc2 0.250 0.375 0.625 1
Sc3 0.500 0.500 0.000 1
Sc4 0.000 0.000 0.500 1
Sc5 0.125 0.750 0.375 1
Sc6 0.000 0.500 0.500 1
Sc7 0.250 0.875 0.125 1
Sc8 0.750 0.125 0.875 1
Sc9 0.875 0.625 0.750 1
Sc10 0.375 0.125 0.750 1
Sc11 0.625 0.875 0.250 1
Sc12 0.500 0.000 0.500 1
Sc13 0.375 0.250 0.125 1
Sc14 0.125 0.375 0.250 1
Sc15 0.000 0.000 0.000 1
Sc16 0.875 0.250 0.625 1
Sc17 0.500 0.000 0.000 1
Sc18 0.750 0.625 0.375 1
Sc19 0.500 0.500 0.500 1
Sc20 0.625 0.750 0.875 1


Record 5
# Tb2ScAu (PBE, relaxed)
# SG = P4/mmm (123)
# Energy of formation from the pure elements = -0.2977 eV per atom
# Total energy = -5.015 eV per atom
# Relative energy among the computed polymorphs = 75 meV/atom
data_Tb2ScAu
_cell_length_a 3.681
_cell_length_b 5.223
_cell_length_c 5.223
_cell_angle_alpha 90.00
_cell_angle_beta 90.00
_cell_angle_gamma 90.00
_symmetry_space_group_name_H-M 'P 1'
_symmetry_Int_Tables_number 1
loop_
_symmetry_equiv_pos_as_xyz
'x,y,z'
loop_
_atom_site_label
_atom_site_fract_x
_atom_site_fract_y
_atom_site_fract_z
_atom_site_occupancy
Tb1 0.000 0.000 0.500 1
Tb2 0.000 0.500 0.000 1
Sc1 0.500 0.500 0.500 1
Au1 0.500 0.000 0.000 1


Record 6
# TbScAu (PBE, relaxed)
# SG = P4/nmm (129)
# Energy of formation from the pure elements = -0.6020 eV per atom
# Total energy = -5.348 eV per atom
# Relative energy among the computed polymorphs = 28 meV/atom
data_TbScAu
_cell_length_a 4.569
_cell_length_b 4.569
_cell_length_c 7.110
_cell_angle_alpha 90.00
_cell_angle_beta 90.00
_cell_angle_gamma 90.00
_symmetry_space_group_name_H-M 'P 1'
_symmetry_Int_Tables_number 1
loop_
_symmetry_equiv_pos_as_xyz
'x,y,z'
loop_
_atom_site_label
_atom_site_fract_x
_atom_site_fract_y
_atom_site_fract_z
_atom_site_occupancy
Tb1 0.000 0.500 0.867 1
Tb2 0.500 0.000 0.133 1
Sc1 0.500 0.500 0.500 1
Sc2 0.000 0.000 0.500 1
Au1 0.000 0.500 0.268 1
Au2 0.500 0.000 0.732 1


Record 7
# TbSc2ZnAu4 (PBE, relaxed)
# SG = R-3m (166)
# Energy of formation from the pure elements = -0.6910 eV per atom
# Total energy = -4.651 eV per atom
data_TbSc2ZnAu4
_cell_length_a 4.737
_cell_length_b 4.737
_cell_length_c 8.702
_cell_angle_alpha 74.21
_cell_angle_beta 74.21
_cell_angle_gamma 60.00
_symmetry_space_group_name_H-M 'P 1'
_symmetry_Int_Tables_number 1
loop_
_symmetry_equiv_pos_as_xyz
'x,y,z'
loop_
_atom_site_label
_atom_site_fract_x
_atom_site_fract_y
_atom_site_fract_z
_atom_site_occupancy
Sc1 0.240 0.240 0.280 1
Sc2 0.760 0.760 0.720 1
Au1 0.123 0.123 0.630 1
Au2 0.611 0.611 0.166 1
Au3 0.389 0.389 0.834 1
Au4 0.877 0.877 0.370 1
Zn1 0.500 0.500 0.500 1
Tb1 0.000 0.000 0.000 1


Record 8
# TbScZnAu (PBE, relaxed)
# SG = F-43m (216)
# Energy of formation from the pure elements = -0.5647 eV per atom
# Total energy = -4.443 eV per atom
data_TbScZnAu
_cell_length_a 4.949
_cell_length_b 4.949
_cell_length_c 4.949
_cell_angle_alpha 60.00
_cell_angle_beta 60.00
_cell_angle_gamma 60.00
_symmetry_space_group_name_H-M 'P 1'
_symmetry_Int_Tables_number 1
loop_
_symmetry_equiv_pos_as_xyz
'x,y,z'
loop_
_atom_site_label
_atom_site_fract_x
_atom_site_fract_y
_atom_site_fract_z
_atom_site_occupancy
Zn1 0.000 0.000 0.000 1
Sc1 0.750 0.750 0.750 1
Tb1 0.250 0.250 0.250 1
Au1 0.500 0.500 0.500 1


Record 9
# ScTcAu (PBE, relaxed)
# SG = I4mm (107)
# Energy of formation from the pure elements = -0.0607 eV per atom
# Total energy = -6.719 eV per atom
# Relative energy among the computed polymorphs = 0 meV/atom
data_ScTcAu
_cell_length_a 6.668
_cell_length_b 6.669
_cell_length_c 2.874
_cell_angle_alpha 77.55
_cell_angle_beta 77.56
_cell_angle_gamma 24.89
_symmetry_space_group_name_H-M 'P 1'
_symmetry_Int_Tables_number 1
loop_
_symmetry_equiv_pos_as_xyz
'x,y,z'
loop_
_atom_site_label
_atom_site_fract_x
_atom_site_fract_y
_atom_site_fract_z
_atom_site_occupancy
Tc1 0.668 0.668 0.332 1
Sc1 0.329 0.329 0.671 1
Au1 0.003 0.003 0.997 1


Record 10
# ScTcAu4 (PBE, relaxed)
# SG = F-43m (216)
# Energy of formation from the pure elements = 0.1446 eV per atom
# Total energy = -4.823 eV per atom
data_ScTcAu4
_cell_length_a 5.443
_cell_length_b 5.443
_cell_length_c 5.443
_cell_angle_alpha 60.00
_cell_angle_beta 60.00
_cell_angle_gamma 60.00
_symmetry_space_group_name_H-M 'P 1'
_symmetry_Int_Tables_number 1
loop_
_symmetry_equiv_pos_as_xyz
'x,y,z'
loop_
_atom_site_label
_atom_site_fract_x
_atom_site_fract_y
_atom_site_fract_z
_atom_site_occupancy
Tc1 0.000 0.000 0.000 1
Au1 0.375 0.876 0.375 1
Au2 0.375 0.375 0.375 1
Au3 0.876 0.375 0.375 1
Au4 0.375 0.375 0.876 1
Sc1 0.750 0.750 0.750 1